DFT (PBE-GGA) results for CeNiTe after structural relaxation.

Cell lengths 4.5777, 4.5777, 4.5777 Å; angles 60.00, 60.00, 60.00 degrees
Positions (direct):
Ni 0.2500 0.2500 0.2500
Te 0.0000 0.0000 0.0000
Ce 0.5000 0.5000 0.5000

## Properties
Its relative energy among the computed polymorphs is 0.057 eV/atom. Its raw formation energy is -784 meV/atom.

DFT (PBE-GGA) results for Ce3Ni5Te12 after structural relaxation.

Cell lengths 14.1963, 14.1963, 14.1963 Å; angles 109.47, 109.47, 109.47 degrees
Positions (direct):
Ce 0.7500 0.3750 0.1250
Ce 0.8750 0.7500 0.1250
Ce 0.3750 0.7500 0.6250
Ce 0.2500 0.1250 0.3750
Ce 0.8750 0.1250 0.2500
Ce 0.3750 0.6250 0.2500
Ce 0.6250 0.3750 0.7500
Ce 0.1250 0.8750 0.7500
Ce 0.7500 0.8750 0.6250
Ce 0.6250 0.2500 0.3750
Ce 0.1250 0.2500 0.8750
Ce 0.2500 0.6250 0.8750
Ni 0.1250 0.3750 0.2500
Ni 0.0000 0.5000 0.0000
Ni 0.0000 0.0000 0.0000
Ni 0.3750 0.2500 0.1250
Ni 0.5000 0.0000 0.5000
Ni 0.5000 0.5000 0.0000
Ni 0.1250 0.7500 0.3750
Ni 0.7500 0.1250 0.8750
Ni 0.7500 0.6250 0.3750
Ni 0.3750 0.1250 0.7500
Ni 0.6250 0.8750 0.2500
Ni 0.5000 0.5000 0.5000
Ni 0.5000 0.0000 0.0000
Ni 0.0000 0.0000 0.5000
Ni 0.2500 0.3750 0.6250
Ni 0.2500 0.8750 0.1250
Ni 0.0000 0.5000 0.5000
Ni 0.8750 0.2500 0.6250
Ni 0.6250 0.7500 0.8750
Ni 0.8750 0.6250 0.7500
Te 0.7030 0.1154 0.0262
Te 0.3232 0.5262 0.4108
Te 0.9738 0.3846 0.2970
Te 0.5262 0.2030 0.1154
Te 0.5876 0.7030 0.6768
Te 0.9738 0.5892 0.1768
Te 0.3232 0.7970 0.4124
Te 0.0892 0.9124 0.1154
Te 0.5892 0.9738 0.6768
Te 0.7030 0.5876 0.1768
Te 0.7970 0.4738 0.3846
Te 0.8232 0.9108 0.0262
Te 0.1154 0.7030 0.5262
Te 0.3846 0.4108 0.0876
Te 0.0876 0.9108 0.3846
Te 0.4124 0.1154 0.5892
Te 0.0876 0.1768 0.2030
Te 0.4738 0.6768 0.0892
Te 0.8232 0.9124 0.2970
Te 0.1154 0.4124 0.0892
Te 0.3846 0.9738 0.7970
Te 0.5892 0.6153 0.4124
Te 0.9108 0.8232 0.5262
Te 0.7970 0.3232 0.9124
Te 0.4108 0.3846 0.5876
Te 0.0892 0.1768 0.4738
Te 0.2030 0.6768 0.0876
Te 0.1768 0.0876 0.7030
Te 0.6153 0.0262 0.2030
Te 0.8846 0.5876 0.9108
Te 0.5262 0.3232 0.9108
Te 0.5876 0.8846 0.4108
Te 0.9124 0.8232 0.7970
Te 0.9124 0.0892 0.6153
Te 0.8846 0.2970 0.4738
Te 0.1768 0.0892 0.9738
Te 0.6153 0.5892 0.9124
Te 0.4108 0.0262 0.3232
Te 0.2970 0.4124 0.8232
Te 0.2030 0.5262 0.6153
Te 0.9108 0.0876 0.8846
Te 0.6768 0.2030 0.5876
Te 0.4738 0.7970 0.8846
Te 0.0262 0.4108 0.8232
Te 0.4124 0.2970 0.3232
Te 0.0262 0.6153 0.7030
Te 0.6768 0.4738 0.5892
Te 0.2970 0.8846 0.9738

## Properties
Its raw formation energy is -538 meV/atom.

DFT (PBE-GGA) results for CeThNi4 after structural relaxation.

Cell lengths 3.9261, 5.5908, 5.5908 Å; angles 81.25, 69.44, 69.44 degrees
Positions (direct):
Ce 0.4996 0.0004 0.0004
Th 0.5005 0.4995 0.4995
Ni 0.1599 0.5992 0.0810
Ni 0.8401 0.9175 0.4022
Ni 0.8401 0.4022 0.9175
Ni 0.1599 0.0810 0.5992

## Properties
Its relative energy among the computed polymorphs is 0.009 eV/atom. The value obtained for the energy of formation is -0.364 eV per atom.

DFT (PBE-GGA) results for CeThNi17 after structural relaxation.

Cell lengths 6.2797, 6.2797, 6.2797 Å; angles 83.05, 83.05, 83.05 degrees
Positions (direct):
Ce 0.3366 0.3366 0.3366
Th 0.6613 0.6613 0.6613
Ni 0.2928 0.0008 0.7067
Ni 0.7067 0.2928 0.0008
Ni 0.0008 0.7067 0.2928
Ni 0.2928 0.7067 0.0008
Ni 0.0008 0.2928 0.7067
Ni 0.7067 0.0008 0.2928
Ni 0.3453 0.8469 0.3453
Ni 0.3453 0.3453 0.8469
Ni 0.8469 0.3453 0.3453
Ni 0.6537 0.1547 0.6537
Ni 0.6537 0.6537 0.1547
Ni 0.1547 0.6537 0.6537
Ni 0.9999 0.5002 0.9999
Ni 0.9999 0.9999 0.5002
Ni 0.5002 0.9999 0.9999
Ni 0.9015 0.9015 0.9015
Ni 0.1005 0.1005 0.1005

## Properties
The value obtained for the energy of formation is -0.221 eV per atom.

DFT (PBE-GGA) results for CeTh5Ni2 after structural relaxation.

Cell lengths 3.6588, 7.1619, 17.5827 Å; angles 90.03, 90.00, 104.80 degrees
Positions (direct):
Ce 0.7806 0.5612 0.7498
Ce 0.2194 0.4388 0.2502
Th 0.9462 0.8925 0.9126
Th 0.9466 0.8932 0.5876
Th 0.3322 0.6645 0.4300
Th 0.3322 0.6643 0.0700
Th 0.4884 0.9768 0.2498
Th 0.5116 0.0232 0.7502
Th 0.6678 0.3355 0.5700
Th 0.6678 0.3357 0.9300
Th 0.0538 0.1075 0.0874
Th 0.0534 0.1068 0.4124
Ni 0.6923 0.3846 0.3727
Ni 0.6925 0.3850 0.1278
Ni 0.3077 0.6154 0.6273
Ni 0.3075 0.6150 0.8722

## Properties
The value obtained for the energy of formation is -0.080 eV per atom.

DFT (PBE-GGA) results for CeThNi2 after structural relaxation.

Cell lengths 3.8693, 3.8693, 7.2556 Å; angles 74.54, 74.54, 60.00 degrees
Positions (direct):
Ni 0.7495 0.7495 0.7516
Ni 0.2505 0.2505 0.2484
Ce 0.0000 0.0000 0.0000
Th 0.5000 0.5000 0.5000

## Properties
Its relative energy among the computed polymorphs is 0.117 eV/atom. The value obtained for the energy of formation is -0.252 eV per atom.

DFT (PBE-GGA) results for CeThNi after structural relaxation.

Cell lengths 6.8224, 6.7993, 7.3276 Å; angles 60.40, 90.00, 90.00 degrees
Positions (direct):
Ce 0.6738 0.8071 0.0242
Ce 0.3262 0.1929 0.9758
Ce 0.1738 0.1929 0.4758
Ce 0.8262 0.8071 0.5242
Th 0.1733 0.7245 0.9219
Th 0.3267 0.7245 0.4219
Th 0.8267 0.2755 0.0781
Th 0.6733 0.2755 0.5781
Ni 0.5325 0.5915 0.7982
Ni 0.4675 0.4085 0.2018
Ni 0.9675 0.5915 0.2982
Ni 0.0325 0.4085 0.7018

## Properties
Its relative energy among the computed polymorphs is 0.011 eV/atom. The value obtained for the energy of formation is -0.123 eV per atom.

DFT (PBE-GGA) results for CeThNi10 after structural relaxation.

Cell lengths 3.9976, 4.9128, 8.5082 Å; angles 90.00, 90.00, 90.00 degrees
Positions (direct):
Ce 0.0000 0.5000 0.5000
Th 0.0000 0.0000 0.0000
Ni 0.0000 0.0000 0.3369
Ni 0.0000 0.5000 0.8289
Ni 0.0000 0.5000 0.1711
Ni 0.0000 0.0000 0.6631
Ni 0.5000 0.0000 0.5000
Ni 0.5000 0.5000 0.0000
Ni 0.5000 0.2490 0.2504
Ni 0.5000 0.7510 0.7496
Ni 0.5000 0.7510 0.2504
Ni 0.5000 0.2490 0.7496

## Properties
The value obtained for the energy of formation is -0.374 eV per atom.